[1]
ZrTa2Ag PBE relaxed; ΔH_f (0 K) = 0.39 eV per formula unit; symmetry = Cmm2; Fermi-level density of states = 4.6 states/eV/f.u.
1.0
2.9039 0.0150 0.0000
-0.8265 2.7839 0.0000
0.0000 0.0000 9.4574
Ag Ta Zr
1 2 1
Cartesian
1.0387 1.3994 7.1770
0.0000 0.0000 0.0571
1.0387 1.3994 2.2704
0.0000 0.0000 4.6816

=====

[2]
KMgHF2 PBE relaxed; symmetry = P4/mmm; total energy = -4.24 eV/atom; Fermi-level density of states = 0.0 states/eV/f.u.
1.0
4.0802 0.0000 0.0000
0.0000 4.0802 0.0000
0.0000 0.0000 3.9682
F Mg K H
2 1 1 1
Cartesian
0.0000 2.0401 0.0000
2.0401 0.0000 0.0000
0.0000 0.0000 0.0000
2.0401 2.0401 1.9841
0.0000 0.0000 1.9841

=====

[3]
Li2Be3Au8 PBE relaxed; ΔH_f (0 K) = -2.28 eV per formula unit; symmetry = P2/m; Fermi-level density of states = 4.1 states/eV/f.u.
1.0
4.1262 0.0000 0.0001
0.0000 6.9968 3.5536
-0.0001 0.6017 7.8270
Au Be Li
8 3 2
Cartesian
4.1262 0.8456 1.2674
4.1261 2.9058 4.3522
0.0000 6.7529 10.1131
2.0631 4.5341 3.4096
2.0631 3.0643 7.9710
2.0631 6.1812 5.8796
2.0631 1.4172 5.5010
0.0000 4.6926 7.0284
4.1262 2.2510 6.7267
0.0000 5.3475 4.6539
2.0631 0.0000 0.0000
2.0632 5.7319 8.5779
2.0630 1.8665 2.8027

=====

[4]
KNd2Er PBE relaxed; ΔH_f (0 K) = 0.77 eV per formula unit; symmetry = R-3m; Fermi-level density of states = 4.6 states/eV/f.u.
1.0
-0.0558 -2.4574 2.6953
2.9299 -2.0784 0.6342
5.6628 7.7180 9.6227
Er Nd K
1 2 1
Cartesian
4.2685 1.5911 6.4761
4.2300 -1.8758 5.7828
4.3069 5.0580 7.1693
0.0000 0.0000 0.0000

=====

[5]
CuPtPbI2 PBE relaxed; symmetry = P4/mmm; E_form (uncorrected) = 0.721 eV/atom; Fermi-level density of states = 4.4 states/eV/f.u.
1.0
5.2690 0.0000 0.0000
0.0000 5.2330 0.0000
0.0000 0.0000 5.2690
I Cu Pt Pb
2 1 1 1
Cartesian
2.6345 0.0000 0.0000
0.0000 0.0000 2.6345
0.0000 0.0000 0.0000
2.6345 2.6165 2.6345
0.0000 2.6165 0.0000

=====

[6]
NbTcMo4 PBE relaxed; ΔH_f (0 K) = -0.23 eV per formula unit; symmetry = P2/m; Fermi-level density of states = 4.1 states/eV/f.u.
1.0
-2.7083 2.1877 -2.8236
-2.9917 -3.3244 0.3029
-1.3123 4.9762 8.6543
Nb Mo Tc
2 8 2
Cartesian
-0.6562 2.4881 4.3271
-3.5062 1.9197 3.0668
-2.7313 4.3465 4.1979
-2.8730 1.5905 5.7612
-2.1157 0.4477 0.5977
-4.9656 -0.1206 -0.6627
-4.2811 -0.5071 1.9356
-4.8967 3.3918 5.5359
-4.1394 2.2490 0.3724
-2.0468 3.9601 6.7962
-2.9209 -1.9465 -0.4787
-2.7791 0.8097 -2.0420

=====

[7]
LiMn3Te PBE relaxed; symmetry = Pm-3m; E_form (uncorrected) = 0.757 eV/atom; Fermi-level density of states = 2.7 states/eV/f.u.
1.0
4.4344 0.0000 0.0000
0.0000 4.4344 0.0000
0.0000 0.0000 4.4344
Mn Li Te
3 1 1
Cartesian
0.0000 2.2172 0.0000
2.2172 0.0000 0.0000
0.0000 0.0000 2.2172
0.0000 0.0000 0.0000
2.2172 2.2172 2.2172

=====

[8]
ZnSi3Ru PBE relaxed; symmetry = Pm-3m; E_form (uncorrected) = 0.446 eV/atom; Fermi-level density of states = 4.1 states/eV/f.u.
1.0
-1.0658 1.0796 4.3682
-4.3693 -1.3207 -0.7396
1.0749 -4.2980 1.3245
Si Ru Zn
3 1 1
Cartesian
-0.5329 0.5398 2.1841
0.5375 -2.1490 0.6622
-2.1847 -0.6604 -0.3698
0.0000 0.0000 0.0000
-2.1801 -2.2696 2.4765

=====

[9]
Pm3YN4 PBE relaxed; symmetry = I4/mmm; E_form (uncorrected) = -1.487 eV/atom; Fermi-level density of states = 1.0 states/eV/f.u.
1.0
4.6337 0.0041 -2.0540
-0.9145 4.5426 -2.0539
-0.0220 -0.0270 6.2040
N Y Pm
4 1 3
Cartesian
0.9017 1.1023 2.0364
2.3168 0.0021 -1.0270
2.7955 3.4174 0.0597
-0.4572 2.2713 -1.0270
3.6972 4.5197 2.0961
0.4616 3.3945 1.0481
1.8596 2.2734 -2.0539
3.2357 1.1252 1.0480

=====

[10]
Er4CuTe PBE relaxed; symmetry = C2/m; E_form (uncorrected) = -0.326 eV/atom; Fermi-level density of states = 5.1 states/eV/f.u.
1.0
3.7684 0.0000 0.0000
-1.8842 7.6651 0.6765
0.0000 -3.3028 5.5867
Cu Er Te
1 4 1
Cartesian
0.0000 0.0000 0.0000
0.0000 0.7492 2.7946
1.8842 -1.0077 5.7662
0.0000 5.3700 0.4971
1.8842 3.6132 3.4686
1.8842 -1.6514 2.7934

=====

[11]
TmB6Ir5 PBE relaxed; ΔH_f (0 K) = -3.22 eV per formula unit; symmetry = C2/m; Fermi-level density of states = 2.8 states/eV/f.u.
1.0
4.4788 1.4760 2.3516
1.5636 5.7526 0.8210
-0.2085 0.7380 5.8381
Ir B Tm
5 6 1
Cartesian
1.1903 3.6143 5.0734
1.2826 0.7380 2.9981
2.9877 1.4760 5.1916
3.0212 3.6143 1.5863
4.6435 4.3524 3.9373
4.0509 5.6167 2.1269
4.5381 3.9310 6.0134
2.9945 4.7738 5.2029
1.9914 1.6120 1.0456
1.2958 4.0357 2.9973
2.8394 3.1929 3.8077
0.0000 0.0000 0.0000

=====

[12]
CaZn2GaPt PBE relaxed; ΔH_f (0 K) = -1.74 eV per formula unit; symmetry = P4/mmm; Fermi-level density of states = 3.0 states/eV/f.u.
1.0
4.8776 0.0000 0.0000
0.0000 4.8776 0.0000
0.0000 0.0000 4.7862
Zn Pt Ga Ca
2 1 1 1
Cartesian
2.4388 0.0000 0.0000
0.0000 2.4388 0.0000
0.0000 0.0000 0.0000
0.0000 0.0000 2.3931
2.4388 2.4388 2.3931